A relaxed CuNiTe2N crystal. Source: Alexandria via LeMat-Bulk, functional PBE-GGA.

Summary:
* final energy: -4.352 eV/atom
* energy above the lowest structure with this stoichiometry: 0.000 eV/f.u.
* raw formation energy: 0.55 eV/atom
* crystal system: tetragonal
* symmetry: P4/mmm (123)

Unit cell a=5.336 b=5.336 c=3.374 alpha=90.00 beta=90.00 gamma=90.00
Atoms (fractional coordinates):
1 Ni 0.000 0.000 0.000
2 Te 0.500 0.000 0.000
3 Te 0.000 0.500 0.000
4 Cu 0.500 0.500 0.500
5 N 0.000 0.000 0.500

=====

A relaxed SrAg2Cl6 crystal. Source: Alexandria via LeMat-Bulk, functional PBE-GGA.

Summary:
* final energy: -3.013 eV/atom
* energy above the lowest structure with this stoichiometry: 0.121 eV/f.u.
* raw formation energy: -0.96 eV/atom
* crystal system: trigonal
* symmetry: R3 (146)

Unit cell a=6.831 b=6.831 c=7.531 alpha=63.03 beta=63.03 gamma=60.00
Last column: magnetic moment on the atom in μB.
Atoms (fractional coordinates):
1 Cl 0.630 0.868 0.259  0.17
2 Cl 0.868 0.244 0.259  0.17
3 Cl 0.116 0.723 0.723  0.20
4 Cl 0.244 0.630 0.259  0.17
5 Ag 0.825 0.825 0.525  0.27
6 Sr 0.315 0.315 0.055  0.00
7 Cl 0.438 0.116 0.723  0.20
8 Ag 0.507 0.507 0.479  0.43
9 Cl 0.723 0.438 0.723  0.20

=====

A relaxed La2Sm6Y3Sc crystal. Source: Alexandria via LeMat-Bulk, functional PBE-GGA.

Summary:
* final energy: -5.295 eV/atom
* calculated formation energy: 0.030 eV per atom
* crystal system: monoclinic
* symmetry: C2/m (12)

Unit cell a=6.243 b=6.243 c=11.949 alpha=95.02 beta=95.02 gamma=120.01
Atoms (fractional coordinates):
1 Y 0.500 0.500 0.500
2 La 0.667 0.333 0.000
3 Y 0.166 0.834 0.500
4 Sm 0.754 0.754 0.252
5 Sm 0.246 0.246 0.748
6 La 0.333 0.667 0.000
7 Sm 0.588 0.917 0.749
8 Sm 0.412 0.083 0.251
9 Sm 0.083 0.412 0.251
10 Sm 0.917 0.588 0.749
11 Y 0.834 0.166 0.500
12 Sc 0.000 0.000 0.000